[1]
# Pu2PRh (PBE, optimized geometry)
# DFT total energy	-44.246	eV/cell
# energy above the most stable polymorph in this dataset	0	meV per atom
# density	13.333	Mg/m³
# N(E_F)	12.30	states/eV/cell
# magnetic moment	10.46	μB/f.u.
# energy of formation	-0.7051	eV/atom
data_Pu2PRh
_chemical_formula_sum 'Pu2 P1 Rh1'
_symmetry_space_group_name_H-M 'P 4/m m m'
_symmetry_Int_Tables_number 123
_symmetry_space_group_name_Hall '-P 4 2'
_cell_length_a 3.6685
_cell_length_b 3.6685
_cell_length_c 5.7553
_cell_angle_alpha 90.00
_cell_angle_beta 90.00
_cell_angle_gamma 90.00
loop_
_atom_site_label
_atom_site_type_symbol
_atom_site_fract_x
_atom_site_fract_y
_atom_site_fract_z
_atom_site_occupancy
Pu1 Pu 0.0000 0.0000 0.2436 1
P1 P 0.5000 0.5000 0.0000 1
Rh1 Rh 0.5000 0.5000 0.5000 1

[2]
# Rb3SrAg2Br9 (PBE, optimized geometry)
# DFT total energy	-43.099	eV/cell
# density	3.952	Mg/m³
# N(E_F)	4.41	states/eV/cell
# magnetic moment	0.00	μB/f.u.
data_Rb3SrAg2Br9
_chemical_formula_sum 'Rb3 Sr1 Ag2 Br9'
_symmetry_space_group_name_H-M 'P -3 m 1'
_symmetry_Int_Tables_number 164
_symmetry_space_group_name_Hall '-P 3 2"'
_cell_length_a 7.8699
_cell_length_b 7.8699
_cell_length_c 10.0174
_cell_angle_alpha 90.00
_cell_angle_beta 90.00
_cell_angle_gamma 120.00
loop_
_atom_site_label
_atom_site_type_symbol
_atom_site_fract_x
_atom_site_fract_y
_atom_site_fract_z
_atom_site_occupancy
Rb1 Rb 0.0000 0.0000 0.0000 1
Rb2 Rb 0.3333 0.6667 0.7007 1
Sr1 Sr 0.0000 0.0000 0.5000 1
Ag1 Ag 0.3333 0.6667 0.1539 1
Br1 Br 0.0000 0.5000 0.0000 1
Br2 Br 0.1699 0.3399 0.3119 1

[3]
# Li2In2GeSe6 (PBE, optimized geometry)
# DFT total energy	-169.897	eV/cell
# density	4.387	Mg/m³
# magnetic moment	0.00	μB/f.u.
data_Li2In2GeSe6
_chemical_formula_sum 'Li8 In8 Ge4 Se24'
_symmetry_space_group_name_H-M 'C 1 c 1'
_symmetry_Int_Tables_number 9
_symmetry_space_group_name_Hall 'C -2yc'
_cell_length_a 12.9748
_cell_length_b 7.5957
_cell_length_c 12.9050
_cell_angle_alpha 90.00
_cell_angle_beta 109.87
_cell_angle_gamma 90.00
loop_
_atom_site_label
_atom_site_type_symbol
_atom_site_fract_x
_atom_site_fract_y
_atom_site_fract_z
_atom_site_occupancy
Li1 Li 0.0000 0.1039 0.0000 1
Li2 Li 0.2918 0.2039 0.8362 1
In1 In 0.1553 0.4285 0.4928 1
In2 In 0.4810 0.0923 0.1889 1
Ge1 Ge 0.2277 0.2697 0.2499 1
Se1 Se 0.0343 0.2527 0.1946 1
Se2 Se 0.1056 0.2738 0.8797 1
Se3 Se 0.2757 0.0163 0.1686 1
Se4 Se 0.2977 0.4729 0.6959 1
Se5 Se 0.3035 0.2400 0.4434 1
Se6 Se 0.4845 0.2470 0.0068 1

[4]
# SnAsSe2Br (PBE, optimized geometry)
# DFT total energy	-16.930	eV/cell
# energy above the most stable polymorph in this dataset	0	meV per atom
# density	5.232	Mg/m³
# N(E_F)	1.62	states/eV/cell
# magnetic moment	0.00	μB/f.u.
data_SnAsSe2Br
_chemical_formula_sum 'Sn1 As1 Se2 Br1'
_symmetry_space_group_name_H-M 'P 4/m m m'
_symmetry_Int_Tables_number 123
_symmetry_space_group_name_Hall '-P 4 2'
_cell_length_a 5.1648
_cell_length_b 5.1648
_cell_length_c 5.1337
_cell_angle_alpha 90.00
_cell_angle_beta 90.00
_cell_angle_gamma 90.00
loop_
_atom_site_label
_atom_site_type_symbol
_atom_site_fract_x
_atom_site_fract_y
_atom_site_fract_z
_atom_site_occupancy
Sn1 Sn 0.0000 0.0000 0.0000 1
As1 As 0.5000 0.5000 0.5000 1
Se1 Se 0.0000 0.5000 0.5000 1
Br1 Br 0.5000 0.5000 0.0000 1

[5]
# LaTlP2S (PBE, optimized geometry)
# DFT total energy	-21.565	eV/cell
# energy above the most stable polymorph in this dataset	0	meV per atom
# density	5.577	Mg/m³
# N(E_F)	5.76	states/eV/cell
# magnetic moment	0.00	μB/f.u.
data_LaTlP2S
_chemical_formula_sum 'La1 Tl1 P2 S1'
_symmetry_space_group_name_H-M 'P 4/m m m'
_symmetry_Int_Tables_number 123
_symmetry_space_group_name_Hall '-P 4 2'
_cell_length_a 5.0292
_cell_length_b 5.0292
_cell_length_c 5.1482
_cell_angle_alpha 90.00
_cell_angle_beta 90.00
_cell_angle_gamma 90.00
loop_
_atom_site_label
_atom_site_type_symbol
_atom_site_fract_x
_atom_site_fract_y
_atom_site_fract_z
_atom_site_occupancy
La1 La 0.0000 0.0000 0.0000 1
Tl1 Tl 0.5000 0.5000 0.5000 1
P1 P 0.0000 0.5000 0.5000 1
S1 S 0.5000 0.5000 0.0000 1

[6]
# AlAsOs2 (PBE, optimized geometry)
# DFT total energy	-58.960	eV/cell
# energy above the most stable polymorph in this dataset	385	meV per atom
# density	13.308	Mg/m³
# N(E_F)	7.25	states/eV/cell
# magnetic moment	0.00	μB/f.u.
# energy of formation	0.3430	eV/atom
data_AlAsOs2
_chemical_formula_sum 'Al2 As2 Os4'
_symmetry_space_group_name_H-M 'C m m m'
_symmetry_Int_Tables_number 65
_symmetry_space_group_name_Hall '-C 2 2'
_cell_length_a 2.9065
_cell_length_b 4.8804
_cell_length_c 8.4860
_cell_angle_alpha 90.00
_cell_angle_beta 90.00
_cell_angle_gamma 90.00
loop_
_atom_site_label
_atom_site_type_symbol
_atom_site_fract_x
_atom_site_fract_y
_atom_site_fract_z
_atom_site_occupancy
Al1 Al 0.0000 0.0000 0.0000 1
As1 As 0.0000 0.0000 0.5000 1
Os1 Os 0.0000 0.5000 0.2440 1

[7]
# NiAs3Pb (PBE, optimized geometry)
# DFT total energy	-21.887	eV/cell
# energy above the most stable polymorph in this dataset	0	meV per atom
# density	7.521	Mg/m³
# N(E_F)	4.26	states/eV/cell
# magnetic moment	0.00	μB/f.u.
# energy of formation	0.3102	eV/atom
data_NiAs3Pb
_chemical_formula_sum 'Ni1 As3 Pb1'
_symmetry_space_group_name_H-M 'P m -3 m'
_symmetry_Int_Tables_number 221
_symmetry_space_group_name_Hall '-P 4 2 3'
_cell_length_a 4.7671
_cell_length_b 4.7671
_cell_length_c 4.7671
_cell_angle_alpha 90.00
_cell_angle_beta 90.00
_cell_angle_gamma 90.00
loop_
_atom_site_label
_atom_site_type_symbol
_atom_site_fract_x
_atom_site_fract_y
_atom_site_fract_z
_atom_site_occupancy
Ni1 Ni 0.0000 0.0000 0.0000 1
As1 As 0.0000 0.0000 0.5000 1
Pb1 Pb 0.5000 0.5000 0.5000 1

[8]
# ZrTiReOs (PBE, optimized geometry)
# DFT total energy	-167.091	eV/cell
# density	13.047	Mg/m³
# N(E_F)	9.58	states/eV/cell
# magnetic moment	0.00	μB/f.u.
# energy of formation	-0.4129	eV/atom
data_ZrTiReOs
_chemical_formula_sum 'Zr4 Ti4 Re4 Os4'
_symmetry_space_group_name_H-M 'F -4 3 m'
_symmetry_Int_Tables_number 216
_symmetry_space_group_name_Hall 'F -4 2 3'
_cell_length_a 6.4025
_cell_length_b 6.4025
_cell_length_c 6.4025
_cell_angle_alpha 90.00
_cell_angle_beta 90.00
_cell_angle_gamma 90.00
loop_
_atom_site_label
_atom_site_type_symbol
_atom_site_fract_x
_atom_site_fract_y
_atom_site_fract_z
_atom_site_occupancy
Zr1 Zr 0.0000 0.0000 0.0000 1
Ti1 Ti 0.0000 0.0000 0.5000 1
Re1 Re 0.2500 0.2500 0.7500 1
Os1 Os 0.2500 0.2500 0.2500 1